# 1
A relaxed structure of CaCuP2, computed with PBE-GGA.

Cell lengths 4.1922, 4.1922, 14.4724 Å; angles 90.00, 90.00, 120.00 degrees
Last column: nearest neighbours and their distance in Å.
Space group R-3m (No. 166, hexagonal axes)
Unique sites:
1 Ca 0.0000 0.0000 0.0000  8 P 2.93-3.07
2 Cu 0.0000 0.0000 0.5000  6 P 2.48
3 P 0.0000 0.0000 0.2027  3 Cu 2.48, 3 P 2.64

Calculated values
- E_form (eV/atom) = -0.31
- VASP energy (eV per atom) = -4.544
- DOS at the Fermi energy (states/eV per atom) = 0.542

=====

# 2
A relaxed structure of PmNiSb, computed with PBE-GGA.

Cell lengths 4.3490, 4.3490, 4.1515 Å; angles 90.00, 90.00, 120.00 degrees
Last column: nearest neighbours and their distance in Å.
Space group P3m1 (No. 156)
Unique sites:
1 Pm 0.0000 0.0000 0.0000  6 Ni 3.21-3.31, 6 Sb 3.26
2 Ni 0.6667 0.3333 0.4821  3 Sb 2.51
3 Sb 0.3333 0.6667 0.5002  3 Ni 2.51

Calculated values
- formation energy from raw total energies (meV per atom) = -818
- VASP energy (eV per atom) = -5.703
- energy above the lowest structure with this stoichiometry (eV per formula unit) = 0.15
- DOS at the Fermi energy (states/eV per atom) = 0.439

=====

# 3
A relaxed structure of Pm7PtI12, computed with PBE-GGA.

Cell lengths 16.1077, 16.1077, 10.9177 Å; angles 90.00, 90.00, 120.00 degrees
Last column: nearest neighbours and their distance in Å.
Space group R-3 (No. 148, hexagonal axes)
Unique sites:
1 Pm 0.0000 0.0000 0.0000  6 I 3.15
2 Pm 0.0438 0.1601 0.3517  1 Pt 2.82
3 Pt 0.0000 0.0000 0.5000  6 Pm 2.82
4 I 0.0214 0.5859 0.1609  3 Pm 3.18-3.40
5 I 0.0506 0.1823 0.8399  3 Pm 3.15-3.25

Calculated values
- formation energy from raw total energies (meV per atom) = -1315
- VASP energy (eV per atom) = -4.210
- DOS at the Fermi energy (states/eV per atom) = 0.194

=====

# 4
A relaxed structure of LaCrW, computed with PBE-GGA.

Cell lengths 4.0382, 4.0382, 4.8836 Å; angles 90.00, 90.00, 120.00 degrees
Last column: nearest neighbours and their distance in Å.
Space group P-6m2 (No. 187)
Unique sites:
1 La 0.0000 0.0000 0.0000  6 Cr 3.38, 6 W 3.38
2 Cr 0.3333 0.6667 0.5000  3 W 2.33
3 W 0.6667 0.3333 0.5000  3 Cr 2.33

Calculated values
- E_form (eV/atom) = 0.72
- VASP energy (eV per atom) = -8.448
- energy above the lowest structure with this stoichiometry (eV per formula unit) = 0.61
- DOS at the Fermi energy (states/eV per atom) = 1.267

=====

# 5
A relaxed structure of YMoPt2, computed with PBE-GGA.

Cell lengths 2.8785, 3.8412, 6.6395 Å; angles 90.00, 90.09, 90.00 degrees
Last column: nearest neighbours and their distance in Å.
Space group P2/m (No. 10)
Unique sites:
1 Y 0.0000 0.0000 0.0000  2 Y 2.88, 8 Pt 3.08
2 Mo 0.0000 0.0000 0.5000  8 Pt 2.77, 2 Mo 2.88
3 Pt 0.4990 0.5000 0.2904  4 Mo 2.77, 3 Pt 2.78-2.88, 4 Y 3.08

Calculated values
- E_form (eV/atom) = -0.46
- VASP energy (eV per atom) = -7.804
- energy above the lowest structure with this stoichiometry (eV per formula unit) = 0.06
- DOS at the Fermi energy (states/eV per atom) = 0.947

=====

# 6
A relaxed structure of LiMgNpO4, computed with PBE-GGA.

Cell lengths 6.2760, 6.9367, 8.2064 Å; angles 90.00, 90.00, 90.00 degrees
Last column: nearest neighbours and their distance in Å.
Space group Imma (No. 74)
Unique sites:
1 Li 0.2500 0.2500 0.2500  2 O 2.03
2 Mg 0.0000 0.2500 0.6229  4 O 2.00-2.05
3 Np 0.0000 0.0000 0.0000  2 O 2.00
4 O 0.0000 0.9995 0.2432  1 Np 2.00, 1 Mg 2.05
5 O 0.2275 0.2500 0.0037  1 Mg 2.00, 1 Li 2.03

Calculated values
- formation energy from raw total energies (meV per atom) = -2658
- VASP energy (eV per atom) = -7.841
- DOS at the Fermi energy (states/eV per atom) = 0.316

=====

# 7
A relaxed structure of Pm3PuPb2, computed with PBE-GGA.

Cell lengths 7.7231, 14.7491, 7.6196 Å; angles 90.00, 90.00, 90.00 degrees
Last column: nearest neighbours and their distance in Å.
Space group Ibam (No. 72)
Unique sites:
1 Pm 0.0000 0.0000 0.2500  4 Pb 3.19
2 Pm 0.0000 0.2927 0.2500  4 Pb 3.23-3.24, 2 Pu 3.60
3 Pu 0.0000 0.5000 0.0000  2 Pb 3.24, 4 Pm 3.60
4 Pb 0.1837 0.1439 0.0000  6 Pm 3.19-3.24, 1 Pu 3.24

Calculated values
- E_form (eV/atom) = -0.08
- VASP energy (eV per atom) = -6.084
- DOS at the Fermi energy (states/eV per atom) = 2.299